# 1
Here is a geometry-optimized Np2ZnNi3P4 structure from the Alexandria database. Energies are from PBE.

a = 4.035 Å, b = 4.035 Å, c = 9.213 Å
α = 90.00°, β = 90.00°, γ = 90.00°
Element x y z (fractional)
Np 0.000 0.500 0.238
Np 0.500 0.000 0.762
Zn 0.000 0.000 0.500
Ni 0.000 0.500 0.891
Ni 0.500 0.000 0.109
Ni 0.500 0.500 0.500
P 0.000 0.000 0.000
P 0.000 0.500 0.647
P 0.500 0.000 0.353
P 0.500 0.500 0.000

Output
* DOS at the Fermi energy: 19.04 states/eV/f.u.
* E_tot: -0.5304 Ry/atom
* crystal system: tetragonal
* SG: No. 115
* calculated formation energy: -603 meV per atom

=====

# 2
Here is a geometry-optimized LiTa2Cr structure from the Alexandria database. Energies are from PBE.

a = 2.762 Å, b = 2.762 Å, c = 9.309 Å
α = 90.00°, β = 90.00°, γ = 110.81°
Element x y z (fractional)
Li 0.000 0.000 0.000
Ta 0.000 0.000 0.541
Ta 0.500 0.500 0.278
Cr 0.500 0.500 0.757

Output
* DOS at the Fermi energy: 4.10 states/eV/f.u.
* E_tot: -0.6223 Ry/atom
* crystal system: orthorhombic
* SG: No. 35
* calculated formation energy: 344 meV per atom

=====

# 3
Here is a geometry-optimized Ce3InRu4 structure from the Alexandria database. Energies are from PBE.

a = 6.298 Å, b = 6.298 Å, c = 6.298 Å
α = 124.97°, β = 84.91°, γ = 121.03°
Element x y z (fractional)
Ce 0.000 0.000 0.000
Ce 0.027 0.726 0.301
Ce 0.425 0.726 0.699
In 0.803 0.303 0.500
Ru 0.428 0.213 0.215
Ru 0.448 0.209 0.762
Ru 0.448 0.686 0.238
Ru 0.998 0.213 0.785

Output
* DOS at the Fermi energy: 5.98 states/eV/f.u.
* E_tot: -0.5419 Ry/atom
* crystal system: orthorhombic
* SG: No. 44
* calculated formation energy: -168 meV per atom